## BaOsCl2 (PBE)

Data for a geometry-optimized BaOsCl2 structure.

## Properties
**Size of the total moment**: 4.00 μB per formula unit
**E above lowest polymorph**: 3.00 eV per formula unit
**Formation energy without anion corrections**: 352 meV per atom
**Theoretical density**: 5.85 g/cm³

a = 7.6777 Å, b = 7.6777 Å, c = 7.6777 Å
α = 90.00°, β = 90.00°, γ = 90.00°
Last column: nearest neighbours and their distance in Å.
Space group F-43m (No. 216)
Symmetry-distinct sites (fractional):
Ba: 0.0000 0.0000 0.0000  4 Os 3.32, 4 Cl 3.32
Os: 0.2500 0.2500 0.2500  4 Ba 3.32, 4 Cl 3.32
Cl: 0.0000 0.0000 0.5000  4 Cl 3.32, 4 Os 3.32
Cl: 0.2500 0.2500 0.7500  4 Ba 3.32, 4 Cl 3.32